1.
The following is a DFT calculation (PBE) of a relaxed LiTaFeN3 crystal.

Cell and atoms, written as CIF:
```
data_LiTaFeN3
_cell_length_a 6.070
_cell_length_b 3.082
_cell_length_c 8.469
_cell_angle_alpha 90.00
_cell_angle_beta 106.98
_cell_angle_gamma 90.00
_space_group_name_H-M_alt 'P 1 21/m 1'
_space_group_IT_number 11
loop_
_space_group_symop_operation_xyz
'x,y,z'
'-x,-y,-z'
'-x,y+1/2,-z'
'x,-y+1/2,z'
loop_
_atom_site_label
_atom_site_type_symbol
_atom_site_fract_x
_atom_site_fract_y
_atom_site_fract_z
Li1 Li 0.173 0.250 0.130
Ta1 Ta 0.324 0.750 0.863
Fe1 Fe 0.024 0.250 0.610
N1 N 0.082 0.250 0.844
N2 N 0.188 0.750 0.595
N3 N 0.428 0.750 0.116
```

* formation energy (no corrections): -0.5625 eV per atom

---

2.
The following is a DFT calculation (PBE) of a relaxed HfZr3Tc crystal.

Cell and atoms, written as CIF:
```
data_HfZr3Tc
_cell_length_a 3.248
_cell_length_b 9.726
_cell_length_c 7.033
_cell_angle_alpha 90.00
_cell_angle_beta 90.07
_cell_angle_gamma 90.00
_space_group_name_H-M_alt 'P 1 21/m 1'
_space_group_IT_number 11
loop_
_space_group_symop_operation_xyz
'x,y,z'
'-x,-y,-z'
'-x,y+1/2,-z'
'x,-y+1/2,z'
loop_
_atom_site_label
_atom_site_type_symbol
_atom_site_fract_x
_atom_site_fract_y
_atom_site_fract_z
Hf1 Hf 0.250 0.250 0.059
Zr1 Zr 0.249 0.250 0.461
Zr2 Zr 0.250 0.004 0.759
Tc1 Tc 0.250 0.750 0.237
```

* distance to the lowest polymorph of the same formula: 0 meV/atom
* calculated formation energy: -0.006 eV/atom

---

3.
The following is a DFT calculation (PBE) of a relaxed Na2PrNpTe4 crystal.

Cell and atoms, written as CIF:
```
data_Na2PrNpTe4
_cell_length_a 7.879
_cell_length_b 4.540
_cell_length_c 7.973
_cell_angle_alpha 90.00
_cell_angle_beta 109.34
_cell_angle_gamma 90.00
_space_group_name_H-M_alt 'P 1 2/m 1'
_space_group_IT_number 10
loop_
_space_group_symop_operation_xyz
'x,y,z'
'-x,-y,-z'
'-x,y,-z'
'x,-y,z'
loop_
_atom_site_label
_atom_site_type_symbol
_atom_site_fract_x
_atom_site_fract_y
_atom_site_fract_z
Na1 Na 0.000 0.000 0.000
Na2 Na 0.500 0.500 0.000
Pr1 Pr 0.000 0.500 0.500
Np1 Np 0.500 0.000 0.500
Te1 Te 0.251 0.000 0.740
Te2 Te 0.260 0.500 0.265
```

* formation energy (no corrections): -1.0631 eV per atom

---

4.
The following is a DFT calculation (PBE) of a relaxed V2Fe3Ni8 crystal.

Cell and atoms, written as CIF:
```
data_V2Fe3Ni8
_cell_length_a 10.460
_cell_length_b 6.499
_cell_length_c 4.657
_cell_angle_alpha 90.00
_cell_angle_beta 96.95
_cell_angle_gamma 90.00
_space_group_name_H-M_alt 'C 1 2/m 1'
_space_group_IT_number 12
loop_
_space_group_symop_operation_xyz
'x,y,z'
'-x,-y,-z'
'-x,y,-z'
'x,-y,z'
'x+1/2,y+1/2,z'
'-x+1/2,-y+1/2,-z'
'-x+1/2,y+1/2,-z'
'x+1/2,-y+1/2,z'
loop_
_atom_site_label
_atom_site_type_symbol
_atom_site_fract_x
_atom_site_fract_y
_atom_site_fract_z
V1 V 0.204 0.000 0.269
Fe1 Fe 0.000 0.000 0.000
Fe2 Fe 0.000 0.180 0.500
Ni1 Ni 0.104 0.500 0.425
Ni2 Ni 0.122 0.314 0.970
Ni3 Ni 0.193 0.000 0.753
```

* calculated formation energy: 0.125 eV/atom

---

5.
The following is a DFT calculation (PBE) of a relaxed SiAuO crystal.

Cell and atoms, written as CIF:
```
data_SiAuO
_cell_length_a 2.944
_cell_length_b 5.442
_cell_length_c 6.590
_cell_angle_alpha 90.41
_cell_angle_beta 102.48
_cell_angle_gamma 105.21
_space_group_name_H-M_alt 'P -1'
_space_group_IT_number 2
loop_
_space_group_symop_operation_xyz
'x,y,z'
'-x,-y,-z'
loop_
_atom_site_label
_atom_site_type_symbol
_atom_site_fract_x
_atom_site_fract_y
_atom_site_fract_z
Si1 Si 0.138 0.462 0.306
Au1 Au 0.167 0.789 0.055
O1 O 0.363 0.658 0.576
```

* formation energy (no corrections): -0.9625 eV per atom

---

6.
The following is a DFT calculation (PBE) of a relaxed La2ScPaP4 crystal.

Cell and atoms, written as CIF:
```
data_La2ScPaP4
_cell_length_a 6.956
_cell_length_b 4.070
_cell_length_c 7.113
_cell_angle_alpha 90.00
_cell_angle_beta 109.35
_cell_angle_gamma 90.00
_space_group_name_H-M_alt 'P 1 2/m 1'
_space_group_IT_number 10
loop_
_space_group_symop_operation_xyz
'x,y,z'
'-x,-y,-z'
'-x,y,-z'
'x,-y,z'
loop_
_atom_site_label
_atom_site_type_symbol
_atom_site_fract_x
_atom_site_fract_y
_atom_site_fract_z
La1 La 0.000 0.000 0.000
La2 La 0.500 0.500 0.000
Sc1 Sc 0.000 0.500 0.500
Pa1 Pa 0.500 0.000 0.500
P1 P 0.239 0.000 0.722
P2 P 0.254 0.500 0.276
```

* calculated formation energy: -1.467 eV/atom

---

7.
The following is a DFT calculation (PBE) of a relaxed ZrAgAu2 crystal.

Cell and atoms, written as CIF:
```
data_ZrAgAu2
_cell_length_a 4.317
_cell_length_b 4.317
_cell_length_c 8.031
_cell_angle_alpha 90.00
_cell_angle_beta 90.00
_cell_angle_gamma 90.00
_space_group_name_H-M_alt 'I -4 m 2'
_space_group_IT_number 119
_space_group_name_Hall 'I -4 -2'
loop_
_atom_site_label
_atom_site_type_symbol
_atom_site_fract_x
_atom_site_fract_y
_atom_site_fract_z
Zr1 Zr 0.000 0.000 0.000
Ag1 Ag 0.000 0.500 0.750
Au1 Au 0.000 0.000 0.500
Au2 Au 0.000 0.500 0.250
```

* distance to the lowest polymorph of the same formula: 90 meV/atom
* calculated formation energy: -0.304 eV/atom

---

8.
The following is a DFT calculation (PBE) of a relaxed ThNi2Rh crystal.

Cell and atoms, written as CIF:
```
data_ThNi2Rh
_cell_length_a 4.2744
_cell_length_b 4.2744
_cell_length_c 13.3585
_cell_angle_alpha 90.00
_cell_angle_beta 90.00
_cell_angle_gamma 120.00
_space_group_name_H-M_alt 'R -3 m'
_space_group_IT_number 166
_space_group_name_Hall '-R 3 2"'
loop_
_atom_site_label
_atom_site_type_symbol
_atom_site_fract_x
_atom_site_fract_y
_atom_site_fract_z
Th1 Th 0.0000 0.0000 0.0000
Ni1 Ni 0.0000 0.0000 0.2002
Rh1 Rh 0.0000 0.0000 0.5000
```

* calculated formation energy: -0.441 eV/atom

---

9.
The following is a DFT calculation (PBE) of a relaxed FeTc3Ni crystal.

Cell and atoms, written as CIF:
```
data_FeTc3Ni
_cell_length_a 4.344
_cell_length_b 4.344
_cell_length_c 4.344
_cell_angle_alpha 90.00
_cell_angle_beta 90.00
_cell_angle_gamma 90.00
_space_group_name_H-M_alt 'P m -3 m'
_space_group_IT_number 221
_space_group_name_Hall '-P 4 2 3'
loop_
_atom_site_label
_atom_site_type_symbol
_atom_site_fract_x
_atom_site_fract_y
_atom_site_fract_z
Fe1 Fe 0.000 0.000 0.000
Tc1 Tc 0.000 0.500 0.500
Ni1 Ni 0.500 0.500 0.500
```

* distance to the lowest polymorph of the same formula: 370 meV/atom
* calculated formation energy: 1.781 eV/atom

---

10.
The following is a DFT calculation (PBE) of a relaxed Al3Au4 crystal.

Cell and atoms, written as CIF:
```
data_Al3Au4
_cell_length_a 3.509
_cell_length_b 3.509
_cell_length_c 19.291
_cell_angle_alpha 90.00
_cell_angle_beta 90.00
_cell_angle_gamma 90.00
_space_group_name_H-M_alt 'I 4/m m m'
_space_group_IT_number 139
_space_group_name_Hall '-I 4 2'
loop_
_atom_site_label
_atom_site_type_symbol
_atom_site_fract_x
_atom_site_fract_y
_atom_site_fract_z
Al1 Al 0.000 0.000 0.000
Al2 Al 0.000 0.000 0.292
Au1 Au 0.000 0.000 0.157
Au2 Au 0.000 0.000 0.429
```

* distance to the lowest polymorph of the same formula: 0 meV/atom
* calculated formation energy: -0.353 eV/atom

---

11.
The following is a DFT calculation (PBE) of a relaxed MoP3 crystal.

Cell and atoms, written as CIF:
```
data_MoP3
_cell_length_a 3.072
_cell_length_b 3.072
_cell_length_c 6.082
_cell_angle_alpha 90.00
_cell_angle_beta 90.00
_cell_angle_gamma 90.00
_space_group_name_H-M_alt 'P 4/m m m'
_space_group_IT_number 123
_space_group_name_Hall '-P 4 2'
loop_
_atom_site_label
_atom_site_type_symbol
_atom_site_fract_x
_atom_site_fract_y
_atom_site_fract_z
Mo1 Mo 0.000 0.000 0.000
P1 P 0.000 0.000 0.500
P2 P 0.500 0.500 0.223
```

* distance to the lowest polymorph of the same formula: 326 meV/atom
* calculated formation energy: 0.082 eV/atom

---

12.
The following is a DFT calculation (PBE) of a relaxed Na5CdSn2 crystal.

Cell and atoms, written as CIF:
```
data_Na5CdSn2
_cell_length_a 6.700
_cell_length_b 13.308
_cell_length_c 4.924
_cell_angle_alpha 90.00
_cell_angle_beta 90.00
_cell_angle_gamma 90.00
_space_group_name_H-M_alt 'P b a m'
_space_group_IT_number 55
loop_
_space_group_symop_operation_xyz
'x,y,z'
'-x,-y,-z'
'-x,-y,z'
'x,y,-z'
'x+1/2,-y+1/2,-z'
'-x+1/2,y+1/2,z'
'-x+1/2,y+1/2,-z'
'x+1/2,-y+1/2,z'
loop_
_atom_site_label
_atom_site_type_symbol
_atom_site_fract_x
_atom_site_fract_y
_atom_site_fract_z
Na1 Na 0.000 0.000 0.000
Na2 Na 0.070 0.256 0.000
Na3 Na 0.193 0.871 0.500
Cd1 Cd 0.000 0.500 0.000
Sn1 Sn 0.180 0.610 0.500
```

* calculated formation energy: -0.094 eV/atom

---

13.
The following is a DFT calculation (PBE) of a relaxed KBa2SeO6 crystal.

Cell and atoms, written as CIF:
```
data_KBa2SeO6
_cell_length_a 6.075
_cell_length_b 8.592
_cell_length_c 6.077
_cell_angle_alpha 90.00
_cell_angle_beta 90.00
_cell_angle_gamma 90.00
_space_group_name_H-M_alt 'P m m n'
_space_group_IT_number 59
loop_
_space_group_symop_operation_xyz
'x,y,z'
'-x,-y,-z'
'-x+1/2,-y+1/2,z'
'x+1/2,y+1/2,-z'
'x+1/2,-y,-z'
'-x+1/2,y,z'
'-x,y+1/2,-z'
'x,-y+1/2,z'
loop_
_atom_site_label
_atom_site_type_symbol
_atom_site_fract_x
_atom_site_fract_y
_atom_site_fract_z
K1 K 0.250 0.250 0.250
Ba1 Ba 0.250 0.000 0.750
Se1 Se 0.250 0.750 0.250
O1 O 0.038 0.750 0.038
O2 O 0.038 0.750 0.461
O3 O 0.250 0.538 0.249
```

* formation energy (no corrections): -1.6767 eV per atom

---

14.
The following is a DFT calculation (PBE) of a relaxed BeOs2Rh crystal.

Cell and atoms, written as CIF:
```
data_BeOs2Rh
_cell_length_a 3.672
_cell_length_b 3.672
_cell_length_c 17.378
_cell_angle_alpha 90.00
_cell_angle_beta 90.00
_cell_angle_gamma 90.00
_space_group_name_H-M_alt 'I -4 2 d'
_space_group_IT_number 122
_space_group_name_Hall 'I -4 2bw'
loop_
_atom_site_label
_atom_site_type_symbol
_atom_site_fract_x
_atom_site_fract_y
_atom_site_fract_z
Be1 Be 0.000 0.000 0.000
Os1 Os 0.208 0.250 0.125
Rh1 Rh 0.000 0.000 0.500
```

* calculated formation energy: 0.579 eV/atom

---

15.
The following is a DFT calculation (PBE) of a relaxed AcPr2Al crystal.

Cell and atoms, written as CIF:
```
data_AcPr2Al
_cell_length_a 3.742
_cell_length_b 3.742
_cell_length_c 9.455
_cell_angle_alpha 90.00
_cell_angle_beta 90.00
_cell_angle_gamma 90.00
_space_group_name_H-M_alt 'P 4/m m m'
_space_group_IT_number 123
_space_group_name_Hall '-P 4 2'
loop_
_atom_site_label
_atom_site_type_symbol
_atom_site_fract_x
_atom_site_fract_y
_atom_site_fract_z
Ac1 Ac 0.000 0.000 0.000
Pr1 Pr 0.500 0.500 0.296
Al1 Al 0.000 0.000 0.500
```

* distance to the lowest polymorph of the same formula: 0 meV/atom
* calculated formation energy: -0.139 eV/atom

---

16.
The following is a DFT calculation (PBE) of a relaxed Ba3Tl3Au8 crystal.

Cell and atoms, written as CIF:
```
data_Ba3Tl3Au8
_cell_length_a 5.062
_cell_length_b 9.920
_cell_length_c 15.055
_cell_angle_alpha 90.00
_cell_angle_beta 90.00
_cell_angle_gamma 90.00
_space_group_name_H-M_alt 'I m m m'
_space_group_IT_number 71
_space_group_name_Hall '-I 2 2'
loop_
_atom_site_label
_atom_site_type_symbol
_atom_site_fract_x
_atom_site_fract_y
_atom_site_fract_z
Ba1 Ba 0.000 0.000 0.000
Ba2 Ba 0.000 0.000 0.292
Tl1 Tl 0.000 0.203 0.500
Tl2 Tl 0.000 0.500 0.000
Au1 Au 0.000 0.276 0.145
Au2 Au 0.000 0.359 0.336
```

* calculated formation energy: -0.467 eV/atom

---

17.
The following is a DFT calculation (PBE) of a relaxed CaTa2Os crystal.

Cell and atoms, written as CIF:
```
data_CaTa2Os
_cell_length_a 3.007
_cell_length_b 3.007
_cell_length_c 9.107
_cell_angle_alpha 90.00
_cell_angle_beta 90.00
_cell_angle_gamma 90.00
_space_group_name_H-M_alt 'P 4/m m m'
_space_group_IT_number 123
_space_group_name_Hall '-P 4 2'
loop_
_atom_site_label
_atom_site_type_symbol
_atom_site_fract_x
_atom_site_fract_y
_atom_site_fract_z
Ca1 Ca 0.000 0.000 0.000
Ta1 Ta 0.500 0.500 0.310
Os1 Os 0.000 0.000 0.500
```

* distance to the lowest polymorph of the same formula: 102 meV/atom
* calculated formation energy: 0.304 eV/atom

---

18.
The following is a DFT calculation (PBE) of a relaxed Te2RhI crystal.

Cell and atoms, written as CIF:
```
data_Te2RhI
_cell_length_a 7.310
_cell_length_b 7.310
_cell_length_c 7.310
_cell_angle_alpha 90.00
_cell_angle_beta 90.00
_cell_angle_gamma 90.00
_space_group_name_H-M_alt 'F m -3 m'
_space_group_IT_number 225
_space_group_name_Hall '-F 4 2 3'
loop_
_atom_site_label
_atom_site_type_symbol
_atom_site_fract_x
_atom_site_fract_y
_atom_site_fract_z
Te1 Te 0.250 0.250 0.250
Rh1 Rh 0.000 0.000 0.000
I1 I 0.000 0.000 0.500
```

* formation energy (no corrections): 0.6479 eV per atom

---

19.
The following is a DFT calculation (PBE) of a relaxed Cs2LiSn crystal.

Cell and atoms, written as CIF:
```
data_Cs2LiSn
_cell_length_a 13.608
_cell_length_b 13.608
_cell_length_c 5.316
_cell_angle_alpha 90.00
_cell_angle_beta 90.00
_cell_angle_gamma 90.00
_space_group_name_H-M_alt 'I -4 2 d'
_space_group_IT_number 122
_space_group_name_Hall 'I -4 2bw'
loop_
_atom_site_label
_atom_site_type_symbol
_atom_site_fract_x
_atom_site_fract_y
_atom_site_fract_z
Cs1 Cs 0.075 0.750 0.125
Li1 Li 0.000 0.000 0.000
Sn1 Sn 0.000 0.000 0.500
```

* distance to the lowest polymorph of the same formula: 0 meV/atom
* calculated formation energy: 0.002 eV/atom

---

20.
The following is a DFT calculation (PBE) of a relaxed MgMnCo crystal.

Cell and atoms, written as CIF:
```
data_MgMnCo
_cell_length_a 18.551
_cell_length_b 2.907
_cell_length_c 6.480
_cell_angle_alpha 90.00
_cell_angle_beta 95.36
_cell_angle_gamma 90.00
_space_group_name_H-M_alt 'C 1 2/m 1'
_space_group_IT_number 12
loop_
_space_group_symop_operation_xyz
'x,y,z'
'-x,-y,-z'
'-x,y,-z'
'x,-y,z'
'x+1/2,y+1/2,z'
'-x+1/2,-y+1/2,-z'
'-x+1/2,y+1/2,-z'
'x+1/2,-y+1/2,z'
loop_
_atom_site_label
_atom_site_type_symbol
_atom_site_fract_x
_atom_site_fract_y
_atom_site_fract_z
Mg1 Mg 0.033 0.000 0.206
Mg2 Mg 0.088 0.500 0.606
Mn1 Mn 0.163 0.500 0.233
Mn2 Mn 0.227 0.500 0.844
Co1 Co 0.133 0.000 0.936
Co2 Co 0.202 0.000 0.538
```

* distance to the lowest polymorph of the same formula: 95 meV/atom
* calculated formation energy: 0.162 eV/atom

---

| no. | V (Å³ per atom) |
| --- | --- |
| 1 | 12.63 |
| 2 | 22.22 |
| 3 | 33.64 |
| 4 | 12.09 |
| 5 | 16.54 |
| 6 | 23.75 |
| 7 | 18.71 |
| 8 | 17.61 |
| 9 | 16.40 |
| 10 | 16.96 |
| 11 | 14.35 |
| 12 | 27.44 |
| 13 | 15.86 |
| 14 | 14.65 |
| 15 | 33.10 |
| 16 | 27.00 |
| 17 | 20.59 |
| 18 | 24.41 |
| 19 | 61.53 |
| 20 | 14.50 |